[1]
This record from the Alexandria database describes Sm9Ga5S21 after structural relaxation. The functional is PBE.

Lattice parameters (Å, degrees): 11.6398 11.6398 11.6398 94.50 94.50 94.50
Fractional positions:
Sm 0.4456 0.0673 0.2212
Sm 0.9004 0.1270 0.7509
S 0.4428 0.6908 0.5885
S 0.8906 0.7933 0.3071
S 0.2702 0.3797 0.5168
Sm 0.0673 0.2212 0.4456
S 0.3684 0.8382 0.2806
S 0.3797 0.5168 0.2702
Sm 0.2306 0.6063 0.4465
Ga 0.6099 0.2777 0.9510
S 0.2365 0.1023 0.3341
Sm 0.1270 0.7509 0.9004
Ga 0.2777 0.9510 0.6099
S 0.2147 0.1302 0.6444
Sm 0.5656 0.7890 0.4143
Sm 0.9232 0.7710 0.5446
S 0.5885 0.4428 0.6908
S 0.2806 0.3684 0.8382
Ga 0.6445 0.6445 0.6445
S 0.9343 0.0348 0.5210
S 0.5502 0.4581 0.9907
S 0.0068 0.9027 0.7605
Ga 0.1155 0.4498 0.7733
S 0.1858 0.6152 0.7003
S 0.9918 0.3250 0.6547
S 0.7605 0.0068 0.9027
S 0.3250 0.6547 0.9918
Sm 0.8852 0.2594 0.1151
S 0.6176 0.7138 0.8488
S 0.1302 0.6444 0.2147
Sm 0.2212 0.4456 0.0673
S 0.1548 0.8269 0.4897
Sm 0.4143 0.5656 0.7890
S 0.5168 0.2702 0.3797
S 0.8488 0.6176 0.7138
S 0.3071 0.8906 0.7933
S 0.6908 0.5885 0.4428
S 0.6547 0.9918 0.3250
Sm 0.6063 0.4465 0.2306
S 0.4581 0.9907 0.5502
Ga 0.9510 0.6099 0.2777
Sm 0.1151 0.8852 0.2594
Ga 0.4498 0.7733 0.1155
S 0.9027 0.7605 0.0068
Sm 0.7890 0.4143 0.5656
S 0.1023 0.3341 0.2365
S 0.8269 0.4897 0.1548
Ga 0.1429 0.1429 0.1429
S 0.7003 0.1858 0.6152
S 0.0348 0.5210 0.9343
Sm 0.7509 0.9004 0.1270
S 0.2049 0.9562 0.0558
Ga 0.3427 0.3427 0.3427
S 0.4897 0.1548 0.8269
S 0.6152 0.7003 0.1858
S 0.3341 0.2365 0.1023
Sm 0.5446 0.9232 0.7710
S 0.0558 0.2049 0.9562
S 0.7933 0.3071 0.8906
S 0.8382 0.2806 0.3684
S 0.9907 0.5502 0.4581
S 0.7138 0.8488 0.6176
S 0.5210 0.9343 0.0348
S 0.6444 0.2147 0.1302
Ga 0.7733 0.1155 0.4498
S 0.9562 0.0558 0.2049
Sm 0.7710 0.5446 0.9232
Sm 0.2594 0.1151 0.8852
Sm 0.4465 0.2306 0.6063
Ga 0.8432 0.8432 0.8432

As for the raw formation energy: -1.565 eV/atom. As for the density: 5.1 g/cm³. Its volume is 1562 Å³/cell.

=====

[2]
This record from the Alexandria database describes TcTe2AuN after structural relaxation. The functional is PBE.

Lattice parameters (Å, degrees): 5.3804 5.3804 3.6997 90.00 90.00 90.00
Fractional positions:
Te 0.5000 0.0000 0.0000
Te 0.0000 0.5000 0.0000
N 0.0000 0.0000 0.5000
Au 0.5000 0.5000 0.5000
Tc 0.0000 0.0000 0.0000

As for the raw formation energy: 0.358 eV/atom. As for the density: 8.7 g/cm³. Its volume is 107 Å³/cell. The energy relative to the lowest polymorph listed for this composition is 0.0 meV/atom.

=====

[3]
This record from the Alexandria database describes RbLiNiCl4 after structural relaxation. The functional is PBE.

Lattice parameters (Å, degrees): 6.2160 7.5604 8.7601 90.00 104.06 90.00
Fractional positions:
Cl 0.9280 0.9693 0.2659
Li 0.6806 0.7500 0.3224
Cl 0.0720 0.0307 0.7341
Ni 0.1813 0.7500 0.3282
Cl 0.9280 0.5307 0.2659
Cl 0.5119 0.2500 0.4778
Rb 0.7643 0.7500 0.9010
Cl 0.3425 0.7500 0.1184
Rb 0.2357 0.2500 0.0990
Cl 0.6575 0.2500 0.8816
Cl 0.4881 0.7500 0.5222
Cl 0.0720 0.4693 0.7341
Li 0.3194 0.2500 0.6776
Ni 0.8187 0.2500 0.6718

As for the raw formation energy: -1.272 eV/atom. As for the density: 2.4 g/cm³. Its volume is 399 Å³/cell.

=====

[4]
This record from the Alexandria database describes Te2RuPb after structural relaxation. The functional is PBE.

Lattice parameters (Å, degrees): 5.1446 5.1446 5.1446 60.00 60.00 60.00
Fractional positions:
Pb 0.5000 0.5000 0.5000
Te 0.0000 0.0000 0.0000
Te 0.2500 0.2500 0.2500
Ru 0.7500 0.7500 0.7500

As for the raw formation energy: 0.684 eV/atom. As for the density: 9.7 g/cm³. Its volume is 96 Å³/cell.